# 1
Entry from the Alexandria database: crystalline TaZn2Tc at its relaxed geometry (PBE).

Geometry as extended XYZ:
```
4
Lattice="-4.0084 -2.4349 1.7770 3.8064 -2.8748 -1.5495 1.0623 0.0661 2.4870" Properties=species:S:1:pos:R:3 pbc="T T T"
Ta -1.4730 -1.1844 2.1320
Tc 2.4344 -1.4043 0.4687
Zn 0.0000 0.0000 0.0000
Zn -0.1010 -2.6548 0.1138
```

Calculated values
The symmetry is Cmmm (65). The formation energy is 0.304 eV per formula unit. The calculation puts the uncorrected energy at -6.116 eV per atom. For the energy above the most stable polymorph in this dataset, the calculation gives 111 meV/atom.

# 2
Entry from the Alexandria database: crystalline TaZn2Tc at its relaxed geometry (PBE).

Geometry as extended XYZ:
```
4
Lattice="-4.0688 -0.4563 1.2562 0.1471 -3.6677 -0.8557 1.1670 -0.7698 3.5002" Properties=species:S:1:pos:R:3 pbc="T T T"
Zn 0.0000 0.0000 0.0000
Zn 0.6570 -2.2187 1.3222
Tc -1.4509 -0.6130 2.3782
Ta -1.9609 -2.0620 0.2003
```

Calculated values
The symmetry is P4/mmm (123). The formation energy is -0.050 eV per formula unit. The calculation puts the uncorrected energy at -6.204 eV per atom. For the energy above the most stable polymorph in this dataset, the calculation gives 22 meV/atom.

# 3
Entry from the Alexandria database: crystalline TaZnTc2 at its relaxed geometry (PBE).

Geometry as extended XYZ:
```
4
Lattice="-2.0910 3.7551 -0.3618 -3.4614 -1.7438 1.8927 1.1374 0.9150 2.9231" Properties=species:S:1:pos:R:3 pbc="T T T"
Tc -2.7762 1.0056 0.7655
Zn -0.4768 2.3351 1.2807
Tc 0.0000 0.0000 0.0000
Ta -1.1620 -0.4144 2.4079
```

Calculated values
The symmetry is P4/mmm (123). The formation energy is -0.288 eV per formula unit. The calculation puts the uncorrected energy at -8.537 eV per atom.

# 4
Entry from the Alexandria database: crystalline TaZnTc2 at its relaxed geometry (PBE).

Geometry as extended XYZ:
```
4
Lattice="3.2776 0.0000 0.0000 0.0000 3.2776 0.0000 0.0000 0.0000 5.7121" Properties=species:S:1:pos:R:3 pbc="T T T"
Zn 0.0000 0.0000 2.7889
Tc 1.6388 1.6388 1.5360
Tc 0.0000 0.0000 5.6886
Ta 1.6388 1.6388 4.2668
```

Calculated values
The symmetry is P4mm (99). The formation energy is 0.222 eV per formula unit. The calculation puts the uncorrected energy at -8.409 eV per atom.

# 5
Entry from the Alexandria database: crystalline Ta2ZnTc at its relaxed geometry (PBE).

Geometry as extended XYZ:
```
4
Lattice="5.0346 -0.0486 -0.0377 1.8798 4.6707 0.0377 -3.1004 -2.8448 2.7650" Properties=species:S:1:pos:R:3 pbc="T T T"
Zn 1.1183 2.0685 1.4014
Ta 6.8192 4.5585 0.0000
Tc 2.6957 -0.2912 1.3637
Ta 3.5524 2.3747 0.0000
```

Calculated values
The symmetry is Immm (71). The formation energy is -0.150 eV per formula unit. The calculation puts the uncorrected energy at -8.874 eV per atom.

# 6
Entry from the Alexandria database: crystalline Ta2ZnTc at its relaxed geometry (PBE).

Geometry as extended XYZ:
```
4
Lattice="-1.6139 3.8089 -1.8553 -2.3354 -0.2162 1.5877 1.5640 2.6912 4.1645" Properties=species:S:1:pos:R:3 pbc="T T T"
Ta 1.5065 2.6422 4.1139
Ta -1.0336 2.5932 0.6834
Zn -1.0960 3.8207 3.2577
Tc -0.5840 1.1566 2.8826
```

Calculated values
The symmetry is Pm (6). The formation energy is -0.119 eV per formula unit. The calculation puts the uncorrected energy at -8.866 eV per atom.

# 7
Entry from the Alexandria database: crystalline ZrTa3Tc at its relaxed geometry (PBE).

Geometry as extended XYZ:
```
5
Lattice="4.8088 0.0000 0.0000 0.0000 4.8088 0.0000 0.0000 0.0000 4.8088" Properties=species:S:1:pos:R:3 pbc="T T T"
Zr 2.4044 2.4044 2.4044
Ta 2.4044 0.0000 0.0000
Tc 0.0000 0.0000 0.0000
Ta 0.0000 0.0000 2.4044
Ta 0.0000 2.4044 0.0000
```

Calculated values
The symmetry is Pm-3m (221). The formation energy is 4.704 eV per formula unit. The calculation puts the uncorrected energy at -9.954 eV per atom. For the energy above the most stable polymorph in this dataset, the calculation gives 0 meV/atom.

# 8
Entry from the Alexandria database: crystalline Zr2TaTc4 at its relaxed geometry (PBE).

Geometry as extended XYZ:
```
7
Lattice="5.1877 -0.0716 -1.8693 -2.6065 4.5239 -1.7754 -0.0413 0.0716 5.5141" Properties=species:S:1:pos:R:3 pbc="T T T"
Tc 2.5939 -0.0358 -0.9347
Tc 1.2700 2.2620 0.9347
Tc -0.0206 0.0358 2.7570
Zr 1.2906 2.2262 -1.8224
Zr 2.5732 0.0000 1.8224
Tc -1.3032 2.2620 -0.8877
Ta 0.0000 0.0000 0.0000
```

Calculated values
The symmetry is I4/mmm (139). The formation energy is 1.826 eV per formula unit. The calculation puts the uncorrected energy at -9.798 eV per atom.

# 9
Entry from the Alexandria database: crystalline ZrTa5Tc6 at its relaxed geometry (PBE).

Geometry as extended XYZ:
```
12
Lattice="-2.9567 3.2191 1.1515 -4.8477 -3.9566 -1.3865 3.9240 -1.9055 6.5311" Properties=species:S:1:pos:R:3 pbc="T T T"
Ta -3.8950 -1.1241 2.0127
Tc -5.0912 -1.3391 -0.4575
Tc -0.2625 1.0829 5.1698
Tc -1.2151 -1.7648 1.8136
Tc -3.6178 -3.7259 1.1263
Ta -2.4094 -3.4866 3.5602
Tc -2.6653 -0.8782 4.4826
Tc -2.7132 0.6016 0.2226
Ta 0.0146 -1.5189 4.2834
Ta -1.4710 0.8436 2.7359
Zr 0.0000 0.0000 0.0000
Ta -2.4238 -1.9783 -0.6933
```

Calculated values
The symmetry is Immm (71). The formation energy is -5.797 eV per formula unit. The calculation puts the uncorrected energy at -11.317 eV per atom.

# 10
Entry from the Alexandria database: crystalline ZrTa3Tc at its relaxed geometry (PBE).

Geometry as extended XYZ:
```
5
Lattice="4.7923 0.0000 0.0000 0.0000 4.7923 0.0000 0.0000 0.0000 4.7923" Properties=species:S:1:pos:R:3 pbc="T T T"
Tc 2.3962 2.3962 2.3962
Ta 0.0000 2.3962 0.0000
Ta 2.3962 0.0000 0.0000
Ta 0.0000 0.0000 2.3962
Zr 0.0000 0.0000 0.0000
```

Calculated values
The symmetry is Pm-3m (221). The formation energy is 11.260 eV per formula unit. The calculation puts the uncorrected energy at -8.642 eV per atom. For the energy above the most stable polymorph in this dataset, the calculation gives 1311 meV/atom.

# 11
Entry from the Alexandria database: crystalline Zr3TaTc at its relaxed geometry (PBE).

Geometry as extended XYZ:
```
5
Lattice="5.0153 0.0000 0.0000 0.0000 5.0153 0.0000 0.0000 0.0000 5.0153" Properties=species:S:1:pos:R:3 pbc="T T T"
Zr 2.5076 0.0000 0.0000
Zr 0.0000 2.5076 0.0000
Zr 0.0000 0.0000 2.5076
Tc 2.5076 2.5076 2.5076
Ta 0.0000 0.0000 0.0000
```

Calculated values
The symmetry is Pm-3m (221). The formation energy is 7.176 eV per formula unit. The calculation puts the uncorrected energy at -8.137 eV per atom. For the energy above the most stable polymorph in this dataset, the calculation gives 620 meV/atom.

# 12
Entry from the Alexandria database: crystalline ZrTa2Tc2 at its relaxed geometry (PBE).

Geometry as extended XYZ:
```
10
Lattice="-6.5020 -0.4727 -3.8774 -3.6508 -1.9417 6.3589 -0.5758 3.0334 0.5957" Properties=species:S:1:pos:R:3 pbc="T T T"
Tc -4.7251 -0.5869 -1.5784
Zr 0.0000 0.0000 0.0000
Tc -5.4278 -1.8275 4.0599
Zr -5.0764 -1.2072 1.2407
Ta -3.1106 1.0597 -0.1033
Tc -2.2394 -0.7576 1.6933
Tc -7.9135 -1.6568 0.7882
Ta -7.0903 0.4358 -0.7728
Ta -7.6180 -0.4407 3.1805
Ta -3.6383 0.1832 3.8500
```

Calculated values
The symmetry is P4/mbm (127). The formation energy is 0.077 eV per formula unit. The calculation puts the uncorrected energy at -10.582 eV per atom. For the energy above the most stable polymorph in this dataset, the calculation gives 45 meV/atom.

# 13
Entry from the Alexandria database: crystalline Zr2Ta2Tc at its relaxed geometry (PBE).

Geometry as extended XYZ:
```
10
Lattice="-0.7553 -6.0507 2.5103 1.0448 -2.6059 -5.9667 4.6600 -0.2059 0.9059" Properties=species:S:1:pos:R:3 pbc="T T T"
Ta -0.3340 -4.3293 0.7345
Zr 2.0500 -6.0484 0.5422
Zr 2.8995 -2.8141 -3.0927
Tc 0.1447 -4.3283 -1.7282
Ta 0.6235 -4.3273 -4.1909
Tc 0.0000 0.0000 0.0000
Ta 0.2512 -1.8218 -1.7065
Zr 2.2452 -2.5679 0.3291
Zr 2.7043 -6.2946 -2.8796
Ta 0.0382 -6.8348 -1.7499
```

Calculated values
The symmetry is P4/mbm (127). The formation energy is 0.657 eV per formula unit. The calculation puts the uncorrected energy at -10.102 eV per atom.

# 14
Entry from the Alexandria database: crystalline ZrTa2Tc2 at its relaxed geometry (PBE).

Geometry as extended XYZ:
```
5
Lattice="-1.5224 2.7790 -0.4982 -2.8283 -1.5235 0.1445 -1.7182 0.6245 8.7348" Properties=species:S:1:pos:R:3 pbc="T T T"
Ta -1.6075 0.1198 5.5809
Zr 0.0000 0.0000 0.0000
Tc -2.2355 0.9021 1.5374
Ta -2.9390 -1.0188 3.2984
Tc -3.8334 0.9780 6.8438
```

Calculated values
The symmetry is Cmmm (65). The formation energy is -0.146 eV per formula unit. The calculation puts the uncorrected energy at -10.626 eV per atom. For the energy above the most stable polymorph in this dataset, the calculation gives 0 meV/atom.

# 15
Entry from the Alexandria database: crystalline Zr5TaTc6 at its relaxed geometry (PBE).

Geometry as extended XYZ:
```
12
Lattice="-1.5011 1.4319 -4.1547 -3.1033 -5.6986 -0.8427 -3.3804 4.7890 5.4671" Properties=species:S:1:pos:R:3 pbc="T T T"
Ta 0.0000 0.0000 0.0000
Tc -2.6253 -0.5358 0.7639
Tc -3.7865 3.9465 0.1329
Zr -2.6364 1.5972 -1.0923
Zr -4.1951 -1.2488 -1.5099
Tc -5.3595 1.0580 -0.2943
Zr -3.7897 1.7710 1.9796
Tc -4.1983 -3.4243 0.3368
Zr -5.3484 -1.0750 1.5619
Tc -1.5041 -0.6679 -2.2819
Zr -1.5516 -2.8493 -0.4213
Tc -3.1003 -3.5989 -2.7155
```

Calculated values
The symmetry is Immm (71). The formation energy is -4.574 eV per formula unit. The calculation puts the uncorrected energy at -10.114 eV per atom.

# 16
Entry from the Alexandria database: crystalline Zr3TaTc at its relaxed geometry (PBE).

Geometry as extended XYZ:
```
5
Lattice="4.9393 0.0000 0.0000 0.0000 4.9393 0.0000 0.0000 0.0000 4.9393" Properties=species:S:1:pos:R:3 pbc="T T T"
Zr 0.0000 0.0000 2.4696
Ta 2.4696 2.4696 2.4696
Tc 0.0000 0.0000 0.0000
Zr 2.4696 0.0000 0.0000
Zr 0.0000 2.4696 0.0000
```

Calculated values
The symmetry is Pm-3m (221). The formation energy is 4.078 eV per formula unit. The calculation puts the uncorrected energy at -8.757 eV per atom. For the energy above the most stable polymorph in this dataset, the calculation gives 0 meV/atom.

# 17
Entry from the Alexandria database: crystalline Zr3TaTc4 at its relaxed geometry (PBE).

Geometry as extended XYZ:
```
8
Lattice="3.2583 0.0000 0.0000 0.0000 3.2583 0.0000 0.0000 0.0000 13.1241" Properties=species:S:1:pos:R:3 pbc="T T T"
Tc 0.0000 0.0000 4.8940
Zr 1.6292 1.6292 6.5620
Tc 0.0000 0.0000 11.5805
Zr 1.6292 1.6292 9.8765
Tc 0.0000 0.0000 1.5436
Tc 0.0000 0.0000 8.2301
Ta 1.6292 1.6292 0.0000
Zr 1.6292 1.6292 3.2476
```

Calculated values
The symmetry is P4/mmm (123). The formation energy is -3.117 eV per formula unit. The calculation puts the uncorrected energy at -10.260 eV per atom.

# 18
Entry from the Alexandria database: crystalline ZrTaTc3 at its relaxed geometry (PBE).

Geometry as extended XYZ:
```
5
Lattice="4.7006 0.0000 0.0000 0.0000 4.7006 0.0000 0.0000 0.0000 4.7006" Properties=species:S:1:pos:R:3 pbc="T T T"
Tc 0.0000 0.0000 2.3503
Tc 0.0000 2.3503 0.0000
Tc 2.3503 0.0000 0.0000
Zr 2.3503 2.3503 2.3503
Ta 0.0000 0.0000 0.0000
```

Calculated values
The symmetry is Pm-3m (221). The formation energy is 5.891 eV per formula unit. The calculation puts the uncorrected energy at -9.122 eV per atom. For the energy above the most stable polymorph in this dataset, the calculation gives 0 meV/atom.

# 19
Entry from the Alexandria database: crystalline TaTe at its relaxed geometry (PBE).

Geometry as extended XYZ:
```
8
Lattice="-3.7116 1.1181 4.5582 -2.6695 -5.2826 -0.8779 3.5868 -2.3956 3.5083" Properties=species:S:1:pos:R:3 pbc="T T T"
Ta -5.4041 -3.5269 3.1168
Ta -1.5567 -2.3001 4.4265
Ta -1.2376 -4.2600 2.7620
Ta -0.9769 -0.6376 0.5634
Te -3.2670 -4.5004 4.6727
Te -2.9748 -3.4070 0.7150
Te -3.4062 -0.7575 2.9652
Te 0.4727 -2.0597 2.5158
```

Calculated values
The symmetry is P4_2/mnm (136). The calculation puts the uncorrected energy at -7.006 eV per atom.

# 20
Entry from the Alexandria database: crystalline TaTe at its relaxed geometry (PBE).

Geometry as extended XYZ:
```
16
Lattice="-9.9506 -5.7972 -3.2371 6.5028 -7.3307 -6.8610 0.4087 -2.2750 2.8181" Properties=species:S:1:pos:R:3 pbc="T T T"
Ta 0.3329 -4.2277 -1.1043
Te -1.1758 -12.3963 -7.4800
Ta -5.6819 -6.9451 -4.7828
Te 0.3437 -4.6949 -3.8400
Te -3.9237 -5.1008 -3.5489
Ta 2.2342 -6.1828 -5.3153
Te -1.8633 -3.0066 0.2000
Ta -1.8524 -3.4738 -2.5357
Te -7.5464 -8.3978 -3.3282
Ta -5.7882 -6.5535 -2.0943
Ta 2.7491 -8.8494 -5.1857
Ta -1.5953 -9.6541 -7.5624
Te -3.7915 -8.4330 -6.2581
Te 4.5073 -7.0051 -3.9518
Ta -3.3720 -11.1752 -6.1758
Te 0.4760 -8.0270 -6.5492
```

Calculated values
The symmetry is I4/m (87). The calculation puts the uncorrected energy at -7.255 eV per atom.